No. 1
Density functional theory data (PBE-GGA) for a relaxed structure of NdDy5Ho3.

Properties
- density of states at the Fermi level (states/eV/cell) = 28.27
- polymorph energy (0 for the lowest one) (eV per atom) = 0.000
- ΔE_f (eV/atom) = 0.18

Unit cell a=6.682 b=12.128 c=11.333 alpha=136.17 beta=90.00 gamma=105.99
Element x y z (fractional)
Dy (0.396, 0.783, 0.829)
Dy (0.613, 0.217, 0.671)
Dy (0.057, 0.351, 0.478)
Dy (0.294, 0.351, 0.978)
Dy (0.318, 0.000, 0.750)
Dy (0.387, 0.783, 0.329)
Dy (0.943, 0.649, 0.522)
Dy (0.604, 0.217, 0.171)
Dy (0.682, 0.000, 0.250)
Dy (0.706, 0.649, 0.022)
Ho (0.000, 0.000, 0.000)
Ho (0.000, 0.000, 0.500)
Ho (0.859, 0.477, 0.120)
Ho (0.141, 0.523, 0.880)
Ho (0.618, 0.477, 0.620)
Ho (0.382, 0.523, 0.380)
Nd (0.771, 0.000, 0.750)
Nd (0.229, 0.000, 0.250)



No. 2
Density functional theory data (PBE-GGA) for a relaxed structure of Nd2Dy6Ho.

Properties
- density of states at the Fermi level (states/eV/cell) = 27.71
- ΔE_f (eV/atom) = 0.11

Unit cell a=6.190 b=11.856 c=11.856 alpha=96.73 beta=60.52 gamma=60.52
Element x y z (fractional)
Nd (0.481, 0.160, 0.344)
Nd (0.019, 0.656, 0.840)
Nd (0.519, 0.840, 0.656)
Nd (0.981, 0.344, 0.160)
Dy (0.064, 0.079, 0.594)
Dy (0.181, 0.837, 0.990)
Dy (0.681, 0.990, 0.837)
Dy (0.335, 0.674, 0.497)
Dy (0.936, 0.921, 0.406)
Dy (0.819, 0.163, 0.010)
Dy (0.835, 0.497, 0.674)
Dy (0.319, 0.010, 0.163)
Dy (0.564, 0.594, 0.079)
Dy (0.165, 0.503, 0.326)
Dy (0.436, 0.406, 0.921)
Dy (0.665, 0.326, 0.503)
Ho (0.750, 0.759, 0.241)
Ho (0.250, 0.241, 0.759)



No. 3
Density functional theory data (PBE-GGA) for a relaxed structure of NdDy5Ho2.

Properties
- density of states at the Fermi level (states/eV/cell) = 25.36
- polymorph energy (0 for the lowest one) (eV per atom) = 0.166
- ΔE_f (eV/atom) = 0.18

Unit cell a=8.812 b=8.482 c=11.212 alpha=90.00 beta=90.00 gamma=38.74
Element x y z (fractional)
Ho (0.889, 0.575, 0.117)
Ho (0.111, 0.425, 0.883)
Ho (0.111, 0.425, 0.617)
Ho (0.889, 0.575, 0.383)
Dy (0.336, 0.955, 0.424)
Dy (0.664, 0.045, 0.576)
Dy (0.197, 0.683, 0.424)
Dy (0.231, 0.686, 0.750)
Dy (0.336, 0.955, 0.076)
Dy (0.803, 0.317, 0.924)
Dy (0.664, 0.045, 0.924)
Dy (0.769, 0.314, 0.250)
Dy (0.197, 0.683, 0.076)
Dy (0.803, 0.317, 0.576)
Nd (0.501, 0.845, 0.750)
Nd (0.499, 0.155, 0.250)



No. 4
Density functional theory data (PBE-GGA) for a relaxed structure of NdDy2Ho5.

Properties
- density of states at the Fermi level (states/eV/cell) = 18.62
- polymorph energy (0 for the lowest one) (eV per atom) = 0.000
- ΔE_f (eV/atom) = 0.02

Unit cell a=5.006 b=7.100 c=14.205 alpha=90.00 beta=90.00 gamma=90.00
Element x y z (fractional)
Nd (0.000, 0.000, 0.500)
Nd (0.000, 0.500, 0.000)
Ho (0.000, 0.500, 0.500)
Ho (0.000, 0.000, 0.249)
Ho (0.000, 0.000, 0.000)
Ho (0.500, 0.249, 0.874)
Ho (0.500, 0.251, 0.374)
Ho (0.000, 0.500, 0.251)
Ho (0.500, 0.749, 0.626)
Ho (0.500, 0.751, 0.126)
Ho (0.000, 0.500, 0.749)
Ho (0.000, 0.000, 0.751)
Dy (0.500, 0.250, 0.626)
Dy (0.500, 0.750, 0.874)
Dy (0.500, 0.250, 0.126)
Dy (0.500, 0.750, 0.374)